[1]
# Ce2Pm5Te12, relaxed, DFT PBE
data_Ce2Pm5Te12
_symmetry_space_group_name_H-M 'C 1 2/m 1'
_symmetry_Int_Tables_number 12
_cell_length_a 17.468
_cell_length_b 8.392
_cell_length_c 10.137
_cell_angle_alpha 90.00
_cell_angle_beta 108.16
_cell_angle_gamma 90.00
loop_
_symmetry_equiv_pos_as_xyz
'x,y,z'
'-x,-y,-z'
'-x,y,-z'
'x,-y,z'
'x+1/2,y+1/2,z'
'-x+1/2,-y+1/2,-z'
'-x+1/2,y+1/2,-z'
'x+1/2,-y+1/2,z'
loop_
_atom_site_label
_atom_site_fract_x
_atom_site_fract_y
_atom_site_fract_z
Ce1 0.000 0.243 0.000
Pm1 0.000 0.500 0.500
Pm2 0.182 0.000 0.826
Pm3 0.207 0.000 0.366
Te1 0.006 0.000 0.233
Te2 0.022 0.500 0.809
Te3 0.146 0.246 0.561
Te4 0.182 0.232 0.100
# Energy (eV/atom): -5.063

***

[2]
# Dy4Te, relaxed, DFT PBE
data_Dy4Te
_symmetry_space_group_name_H-M 'P m -3 m'
_symmetry_Int_Tables_number 221
_symmetry_space_group_name_Hall '-P 4 2 3'
_cell_length_a 5.682
_cell_length_b 5.682
_cell_length_c 5.682
_cell_angle_alpha 90.00
_cell_angle_beta 90.00
_cell_angle_gamma 90.00
loop_
_atom_site_label
_atom_site_fract_x
_atom_site_fract_y
_atom_site_fract_z
Dy1 0.000 0.000 0.000
Dy2 0.000 0.500 0.500
Te1 0.500 0.500 0.500
# Energy (eV/atom): -4.328

***

[3]
# LaSi2Tc4, relaxed, DFT PBE
data_LaSi2Tc4
_symmetry_space_group_name_H-M 'C m m m'
_symmetry_Int_Tables_number 65
_symmetry_space_group_name_Hall '-C 2 2'
_cell_length_a 4.170
_cell_length_b 13.961
_cell_length_c 4.152
_cell_angle_alpha 90.00
_cell_angle_beta 90.00
_cell_angle_gamma 90.00
loop_
_atom_site_label
_atom_site_fract_x
_atom_site_fract_y
_atom_site_fract_z
La1 0.000 0.000 0.000
Si1 0.000 0.408 0.500
Tc1 0.000 0.192 0.500
Tc2 0.000 0.303 0.000
# Energy (eV/atom): -8.683

***

[4]
# HfZr3In2, relaxed, DFT PBE
data_HfZr3In2
_symmetry_space_group_name_H-M 'P n m a'
_symmetry_Int_Tables_number 62
_cell_length_a 8.399
_cell_length_b 3.227
_cell_length_c 20.098
_cell_angle_alpha 90.00
_cell_angle_beta 90.00
_cell_angle_gamma 90.00
loop_
_symmetry_equiv_pos_as_xyz
'x,y,z'
'-x,-y,-z'
'-x+1/2,-y,z+1/2'
'x+1/2,y,-z+1/2'
'x+1/2,-y+1/2,-z+1/2'
'-x+1/2,y+1/2,z+1/2'
'-x,y+1/2,-z'
'x,-y+1/2,z'
loop_
_atom_site_label
_atom_site_fract_x
_atom_site_fract_y
_atom_site_fract_z
Hf1 0.054 0.250 0.063
Zr1 0.011 0.750 0.660
Zr2 0.135 0.250 0.540
Zr3 0.141 0.750 0.801
In1 0.177 0.750 0.191
In2 0.241 0.750 0.421
# Energy of formation (kcal/mol of atoms): -2.9
# Energy (eV/atom): -6.971

***

[5]
# RbNa2As, relaxed, DFT PBE
data_RbNa2As
_symmetry_space_group_name_H-M 'R -3 m'
_symmetry_Int_Tables_number 166
_symmetry_space_group_name_Hall '-R 3 2"'
_cell_length_a 5.0730
_cell_length_b 5.0730
_cell_length_c 17.7094
_cell_angle_alpha 90.00
_cell_angle_beta 90.00
_cell_angle_gamma 120.00
loop_
_atom_site_label
_atom_site_fract_x
_atom_site_fract_y
_atom_site_fract_z
Rb1 0.0000 0.0000 0.0000
Na1 0.0000 0.0000 0.2022
As1 0.0000 0.0000 0.5000
# Energy of formation (kcal/mol of atoms): -7.8
# Energy (eV/atom): -2.401

***

[6]
# MnNbCrMo, relaxed, DFT PBE
data_MnNbCrMo
_symmetry_space_group_name_H-M 'F -4 3 m'
_symmetry_Int_Tables_number 216
_symmetry_space_group_name_Hall 'F -4 2 3'
_cell_length_a 6.085
_cell_length_b 6.085
_cell_length_c 6.085
_cell_angle_alpha 90.00
_cell_angle_beta 90.00
_cell_angle_gamma 90.00
loop_
_atom_site_label
_atom_site_fract_x
_atom_site_fract_y
_atom_site_fract_z
Mn1 0.000 0.000 0.000
Nb1 0.250 0.250 0.750
Cr1 0.000 0.000 0.500
Mo1 0.250 0.250 0.250
# Energy of formation (kcal/mol of atoms): 0.1
# Energy (eV/atom): -9.918

***

[7]
# SmDy4Ho, relaxed, DFT PBE
data_SmDy4Ho
_symmetry_space_group_name_H-M 'C 1 2/c 1'
_symmetry_Int_Tables_number 15
_cell_length_a 8.805
_cell_length_b 14.891
_cell_length_c 6.506
_cell_angle_alpha 90.00
_cell_angle_beta 114.48
_cell_angle_gamma 90.00
loop_
_symmetry_equiv_pos_as_xyz
'x,y,z'
'-x,-y,-z'
'-x,y,-z+1/2'
'x,-y,z+1/2'
'x+1/2,y+1/2,z'
'-x+1/2,-y+1/2,-z'
'-x+1/2,y+1/2,-z+1/2'
'x+1/2,-y+1/2,z+1/2'
loop_
_atom_site_label
_atom_site_fract_x
_atom_site_fract_y
_atom_site_fract_z
Sm1 0.000 0.012 0.250
Dy1 0.087 0.203 0.548
Dy2 0.198 0.379 0.891
Ho1 0.000 0.414 0.250
# Energy of formation (kcal/mol of atoms): 3.6
# Energy (eV/atom): -4.463

***

Values for size of the total moment, Bohr magnetons per cell, ordered as above
0.000 0.006 0.000 0.000 0.000 0.000 0.000